# 1
Computed, not measured: a relaxed Zn4PRu crystal at the GGA-PBE level of DFT.

a = 4.9533 Å, b = 4.9533 Å, c = 4.9533 Å
α = 60.00°, β = 60.00°, γ = 60.00°
Closest atoms and distances in Å follow each position.
Atoms (fractional coordinates):
Zn: 0.8769 0.3744 0.3744  6 Zn 2.46-2.49
Zn: 0.3744 0.8769 0.3744  6 Zn 2.46-2.49
Ru: 0.0000 0.0000 0.0000  12 Zn 2.90, 4 P 3.03
P: 0.7500 0.7500 0.7500  12 Zn 2.91, 4 Ru 3.03
Zn: 0.3744 0.3744 0.3744  6 Zn 2.46-2.49
Zn: 0.3744 0.3744 0.8769  6 Zn 2.46-2.49

Results
The value obtained for the raw total energy is -3.09 eV per atom. As for the space-group type: F-43m (216). The calculated density comes out at 7.6 g/cm³. The total magnetic moment is 0.0 μB/f.u.

***

# 2
Computed, not measured: a relaxed Zn3PRu crystal at the GGA-PBE level of DFT.

a = 4.4996 Å, b = 4.4996 Å, c = 4.4996 Å
α = 90.00°, β = 90.00°, γ = 90.00°
Closest atoms and distances in Å follow each position.
Atoms (fractional coordinates):
P: 0.0000 0.0000 0.0000  6 Zn 2.25
Ru: 0.5000 0.5000 0.5000  12 Zn 3.18
Zn: 0.5000 0.0000 0.0000  2 P 2.25
Zn: 0.0000 0.5000 0.0000  2 P 2.25
Zn: 0.0000 0.0000 0.5000  2 P 2.25

Results
As for the space-group type: Pm-3m (221). The energy relative to the lowest polymorph listed for this composition comes out at 0.0 meV/atom. The calculated density comes out at 6.0 g/cm³. The total magnetic moment is 1.2 μB/f.u.

***

# 3
Computed, not measured: a relaxed Zn3PRu crystal at the GGA-PBE level of DFT.

a = 4.7536 Å, b = 4.7536 Å, c = 4.7536 Å
α = 90.00°, β = 90.00°, γ = 90.00°
Closest atoms and distances in Å follow each position.
Atoms (fractional coordinates):
P: 0.5000 0.5000 0.5000  12 Zn 3.36
Zn: 0.5000 0.0000 0.0000  2 Ru 2.38
Zn: 0.0000 0.5000 0.0000  2 Ru 2.38
Ru: 0.0000 0.0000 0.0000  6 Zn 2.38
Zn: 0.0000 0.0000 0.5000  2 Ru 2.38

Results
As for the space-group type: Pm-3m (221). The energy relative to the lowest polymorph listed for this composition comes out at 26.7 meV/atom. The calculated density comes out at 5.1 g/cm³. The total magnetic moment is 1.3 μB/f.u.

***

# 4
Computed, not measured: a relaxed ZnPRu3 crystal at the GGA-PBE level of DFT.

a = 4.3317 Å, b = 4.3317 Å, c = 4.3317 Å
α = 90.00°, β = 90.00°, γ = 90.00°
Closest atoms and distances in Å follow each position.
Atoms (fractional coordinates):
Ru: 0.0000 0.0000 0.5000  2 P 2.17
P: 0.0000 0.0000 0.0000  6 Ru 2.17
Zn: 0.5000 0.5000 0.5000  12 Ru 3.06
Ru: 0.5000 0.0000 0.0000  2 P 2.17
Ru: 0.0000 0.5000 0.0000  2 P 2.17

Results
As for the space-group type: Pm-3m (221). The energy relative to the lowest polymorph listed for this composition comes out at 0.0 meV/atom. The calculated density comes out at 8.2 g/cm³. The total magnetic moment is 0.8 μB/f.u.

***

# 5
Computed, not measured: a relaxed ZnP3Ru crystal at the GGA-PBE level of DFT.

a = 4.6024 Å, b = 4.6024 Å, c = 4.6024 Å
α = 90.00°, β = 90.00°, γ = 90.00°
Closest atoms and distances in Å follow each position.
Atoms (fractional coordinates):
P: 0.0000 0.0000 0.5000  2 Ru 2.30
P: 0.5000 0.0000 0.0000  2 Ru 2.30
Ru: 0.0000 0.0000 0.0000  6 P 2.30
P: 0.0000 0.5000 0.0000  2 Ru 2.30
Zn: 0.5000 0.5000 0.5000  12 P 3.25

Results
As for the space-group type: Pm-3m (221). The energy relative to the lowest polymorph listed for this composition comes out at 0.0 meV/atom. The calculated density comes out at 4.4 g/cm³. The total magnetic moment is 0.0 μB/f.u.

***

# 6
Computed, not measured: a relaxed ZrPRu crystal at the GGA-PBE level of DFT.

a = 3.8950 Å, b = 6.4745 Å, c = 7.3689 Å
α = 90.00°, β = 90.00°, γ = 90.00°
Closest atoms and distances in Å follow each position.
Atoms (fractional coordinates):
P: 0.7500 0.7757 0.6213  4 Ru 2.41-2.48
Zr: 0.2500 0.9777 0.8191  5 P 2.76-2.78, 6 Ru 2.92-3.01
Zr: 0.2500 0.4777 0.6809  5 P 2.76-2.78, 6 Ru 2.92-3.01
Ru: 0.2500 0.3486 0.0603  4 P 2.41-2.48
Ru: 0.7500 0.6514 0.9397  4 P 2.41-2.48
P: 0.2500 0.2243 0.3787  4 Ru 2.41-2.48
P: 0.7500 0.2757 0.8787  4 Ru 2.41-2.48
Ru: 0.7500 0.1514 0.5603  4 P 2.41-2.48
Ru: 0.2500 0.8486 0.4397  4 P 2.41-2.48
Zr: 0.7500 0.5223 0.3191  5 P 2.76-2.78, 6 Ru 2.92-3.01
P: 0.2500 0.7243 0.1213  4 Ru 2.41-2.48
Zr: 0.7500 0.0223 0.1809  5 P 2.76-2.78, 6 Ru 2.92-3.01

Results
The value obtained for the raw total energy is -8.87 eV per atom. As for the space-group type: Pnma (62). The calculated density comes out at 8.0 g/cm³. The total magnetic moment is 0.0 μB/f.u.

***

# 7
Computed, not measured: a relaxed ZrPRu crystal at the GGA-PBE level of DFT.

a = 3.8376 Å, b = 6.4704 Å, c = 6.4704 Å
α = 120.00°, β = 90.00°, γ = 90.00°
Closest atoms and distances in Å follow each position.
Atoms (fractional coordinates):
P: 0.5000 0.0000 0.0000  6 Ru 2.49, 3 Zr 2.69
Ru: 0.0000 0.7548 0.7548  4 P 2.49, 2 Ru 2.75
P: 0.0000 0.3333 0.6667  3 Ru 2.49, 6 Zr 2.73
P: 0.0000 0.6667 0.3333  3 Ru 2.49, 6 Zr 2.73
Ru: 0.0000 0.0000 0.2452  4 P 2.49, 2 Ru 2.75
Zr: 0.5000 0.4157 0.4157  5 P 2.69-2.73, 2 Ru 2.91
Zr: 0.5000 0.0000 0.5843  5 P 2.69-2.73, 2 Ru 2.91
Ru: 0.0000 0.2452 0.0000  4 P 2.49, 2 Ru 2.75
Zr: 0.5000 0.5843 0.0000  5 P 2.69-2.73, 2 Ru 2.91

Results
The value obtained for the raw total energy is -8.85 eV per atom. As for the space-group type: P-62m (189). The calculated density comes out at 8.0 g/cm³. The total magnetic moment is 0.0 μB/f.u.

***

# 8
Computed, not measured: a relaxed Zr2P7Ru12 crystal at the GGA-PBE level of DFT.

a = 3.9019 Å, b = 9.3641 Å, c = 9.3641 Å
α = 120.00°, β = 90.00°, γ = 90.00°
Closest atoms and distances in Å follow each position.
Atoms (fractional coordinates):
Ru: 0.5000 0.8860 0.6103  4 P 2.28-2.46
Ru: 0.0000 0.9722 0.2345  2 P 2.25-2.26
P: 0.0000 0.2166 0.2434  5 Ru 2.25-2.46
Ru: 0.0000 0.7655 0.7377  2 P 2.25-2.26
Ru: 0.5000 0.2076 0.4517  3 P 2.35-2.62
P: 0.0000 0.7566 0.9732  5 Ru 2.25-2.46
P: 0.5000 0.4539 0.0706  7 Ru 2.28-2.54
Zr: 0.0000 0.6667 0.3333  6 P 2.99, 9 Ru 3.07-3.19
Ru: 0.5000 0.3897 0.2757  4 P 2.28-2.46
Ru: 0.5000 0.7243 0.1140  4 P 2.28-2.46
Ru: 0.0000 0.0590 0.5553  4 P 2.24-2.43
Ru: 0.5000 0.2440 0.7924  3 P 2.35-2.62
Zr: 0.5000 0.0000 0.0000  6 P 2.91, 9 Ru 3.04-3.25
Ru: 0.0000 0.4963 0.9410  4 P 2.24-2.43
Ru: 0.0000 0.2623 0.0278  2 P 2.25-2.26
P: 0.0000 0.0268 0.7833  5 Ru 2.25-2.46
P: 0.5000 0.6167 0.5461  7 Ru 2.28-2.54
Ru: 0.0000 0.4447 0.5037  4 P 2.24-2.43
P: 0.5000 0.9294 0.3833  7 Ru 2.28-2.54
P: 0.0000 0.3333 0.6667  3 Ru 2.24
Ru: 0.5000 0.5483 0.7560  3 P 2.35-2.62

Results
The value obtained for the raw total energy is -8.64 eV per atom. As for the space-group type: P-6 (174). The calculated density comes out at 9.0 g/cm³. The total magnetic moment is 0.0 μB/f.u.

***

# 9
Computed, not measured: a relaxed ZrP4Ru4 crystal at the GGA-PBE level of DFT.

a = 6.0287 Å, b = 6.0287 Å, c = 7.3952 Å
α = 90.00°, β = 90.00°, γ = 90.00°
Closest atoms and distances in Å follow each position.
Atoms (fractional coordinates):
Zr: 0.0000 0.0000 0.0000  4 P 2.77
Ru: 0.2259 0.5000 0.8850  5 P 2.32-2.41
Zr: 0.5000 0.5000 0.5000  4 P 2.77
P: 0.7265 0.0000 0.3016  5 Ru 2.32-2.41
P: 0.5000 0.7735 0.8016  5 Ru 2.32-2.41
P: 0.0000 0.2735 0.6984  5 Ru 2.32-2.41
P: 0.2265 0.5000 0.1984  5 Ru 2.32-2.41
P: 0.5000 0.2265 0.8016  5 Ru 2.32-2.41
Ru: 0.0000 0.2741 0.3850  5 P 2.32-2.41
Ru: 0.7259 0.0000 0.6150  5 P 2.32-2.41
Ru: 0.5000 0.2259 0.1150  5 P 2.32-2.41
Ru: 0.0000 0.7259 0.3850  5 P 2.32-2.41
Ru: 0.5000 0.7741 0.1150  5 P 2.32-2.41
P: 0.7735 0.5000 0.1984  5 Ru 2.32-2.41
P: 0.2735 0.0000 0.3016  5 Ru 2.32-2.41
Ru: 0.2741 0.0000 0.6150  5 P 2.32-2.41
Ru: 0.7741 0.5000 0.8850  5 P 2.32-2.41
P: 0.0000 0.7265 0.6984  5 Ru 2.32-2.41

Results
The value obtained for the raw total energy is -7.98 eV per atom. As for the space-group type: P4_2/nmc (137). The calculated density comes out at 7.7 g/cm³. The total magnetic moment is 0.0 μB/f.u.

***

# 10
Computed, not measured: a relaxed Zr2P2Ru crystal at the GGA-PBE level of DFT.

a = 6.1382 Å, b = 6.1382 Å, c = 4.2345 Å
α = 90.00°, β = 90.00°, γ = 90.00°
Closest atoms and distances in Å follow each position.
Atoms (fractional coordinates):
Zr: 0.6676 0.8324 0.5000  6 P 2.73-2.82, 1 Zr 2.91
P: 0.6340 0.1340 0.0000  1 P 2.33, 2 Ru 2.39
P: 0.8660 0.6340 0.0000  1 P 2.33, 2 Ru 2.39
Ru: 0.0000 0.0000 0.0000  4 P 2.39
Zr: 0.1676 0.6676 0.5000  6 P 2.73-2.82, 1 Zr 2.91
P: 0.3660 0.8660 0.0000  1 P 2.33, 2 Ru 2.39
Zr: 0.8324 0.3324 0.5000  6 P 2.73-2.82, 1 Zr 2.91
Ru: 0.5000 0.5000 0.0000  4 P 2.39
Zr: 0.3324 0.1676 0.5000  6 P 2.73-2.82, 1 Zr 2.91
P: 0.1340 0.3660 0.0000  1 P 2.33, 2 Ru 2.39

Results
The value obtained for the raw total energy is -8.45 eV per atom. As for the space-group type: P4/mbm (127). The calculated density comes out at 7.2 g/cm³. The total magnetic moment is 0.0 μB/f.u.